Below is a relaxed structure of BeFeOs4, with properties calculated at the PBE level.

abc: 5.0837 5.0837 5.0837
angles: 60.00 60.00 60.00
Atoms (fractional coordinates):
Os 0.8745 0.3752 0.3752
Os 0.3752 0.8745 0.3752
Os 0.3752 0.3752 0.8745
Be 0.7500 0.7500 0.7500
Fe 0.0000 0.0000 0.0000
Os 0.3752 0.3752 0.3752

uncorrected energy: -8.64 eV/atom

Below is a relaxed structure of Be2FeOs, with properties calculated at the PBE level.

abc: 4.7738 4.4454 2.5090
angles: 78.86 80.47 119.31
Atoms (fractional coordinates):
Be 0.5000 0.0000 0.5000
Fe 0.0000 0.5000 0.5000
Be 0.0000 0.0000 0.0000
Os 0.5000 0.5000 0.0000

uncorrected energy: -6.77 eV/atom
distance to the lowest polymorph of the same formula: 0.71 eV per formula unit

Below is a relaxed structure of BeFeOs2, with properties calculated at the PBE level.

abc: 2.7016 3.7062 4.9878
angles: 90.00 90.00 90.00
Atoms (fractional coordinates):
Os 0.5000 0.5000 0.2585
Os 0.0000 0.0000 0.0002
Fe 0.5000 0.5000 0.7319
Be 0.0000 0.0000 0.5094

uncorrected energy: -8.57 eV/atom

Below is a relaxed structure of Be2FeOs, with properties calculated at the PBE level.

abc: 3.0336 3.9836 3.5708
angles: 90.00 90.00 90.00
Atoms (fractional coordinates):
Be 0.0000 0.0000 0.0000
Fe 0.5000 0.0000 0.5000
Os 0.0000 0.5000 0.5000
Be 0.5000 0.5000 0.0000

uncorrected energy: -6.83 eV/atom
distance to the lowest polymorph of the same formula: 0.47 eV per formula unit

Below is a relaxed structure of Be2FeOs, with properties calculated at the PBE level.

abc: 3.2318 3.0034 4.4695
angles: 70.42 90.00 90.00
Atoms (fractional coordinates):
Fe 0.0000 0.4789 0.4181
Be 0.0000 0.1974 0.9787
Be 0.5000 0.0505 0.2755
Os 0.5000 0.7731 0.8277

uncorrected energy: -6.92 eV/atom
distance to the lowest polymorph of the same formula: 0.12 eV per formula unit

Below is a relaxed structure of BeFeOs2, with properties calculated at the PBE level.

abc: 3.6760 3.6760 8.6954
angles: 77.80 77.80 90.00
Atoms (fractional coordinates):
Os 0.5873 0.1250 0.2500
Fe 0.0000 0.0000 0.0000
Os 0.3750 0.4127 0.7500
Be 0.2500 0.7500 0.5000
Fe 0.7500 0.2500 0.5000
Be 0.5000 0.5000 0.0000
Os 0.1627 0.6250 0.2500
Os 0.8750 0.8373 0.7500

uncorrected energy: -7.99 eV/atom

Number 1: calculated formation energy 0.8770 eV/atom. Number 2: calculated formation energy 0.0145 eV/atom. Number 3: calculated formation energy 0.0915 eV/atom. Number 4: calculated formation energy -0.0460 eV/atom. Number 5: calculated formation energy -0.1325 eV/atom. Number 6: calculated formation energy 0.6730 eV/atom.